Tb2Sm2YEr2 | PBE-GGA | optimized geometry

## Properties
mass density = 7.55 g/cm³
M_tot = 0.000 μB/atom
energy of formation from the pure elements = 88 meV/atom

Unit cell a=11.6935 b=3.5204 c=11.8007 alpha=90.00 beta=109.41 gamma=90.00
Space group C2/m (No. 12)
Unique sites:
1 Tb 0.0517 0.0000 0.2708 x4
2 Sm 0.1702 0.0000 0.5844 x4
3 Y 0.0000 0.5000 0.0000 x2
4 Er 0.2250 0.5000 0.8624 x4

Tb6Sm3YEr2 | PBE-GGA | optimized geometry

## Properties
mass density = 7.87 g/cm³
M_tot = 0.000 μB/atom
energy of formation from the pure elements = 16 meV/atom

Unit cell a=6.1862 b=10.7080 c=11.8298 alpha=90.00 beta=99.99 gamma=90.00
Space group C2/m (No. 12)
Unique sites:
1 Tb 0.2484 0.0000 0.2473 x4
2 Tb 0.2502 0.1671 0.7527 x8
3 Sm 0.0000 0.0000 0.5000 x2
4 Sm 0.0000 0.3333 0.5000 x4
5 Y 0.0000 0.5000 0.0000 x2
6 Er 0.0000 0.1667 0.0000 x4

TbSm2Y3Er6 | PBE-GGA | optimized geometry

## Properties
mass density = 7.59 g/cm³
M_tot = 0.000 μB/atom
energy of formation from the pure elements = 22 meV/atom

Unit cell a=6.1502 b=10.6412 c=11.7420 alpha=90.00 beta=100.02 gamma=90.00
Space group C2/m (No. 12)
Unique sites:
1 Tb 0.0000 0.0000 0.0000 x2
2 Sm 0.0000 0.3333 0.0000 x4
3 Y 0.0000 0.1666 0.5000 x4
4 Y 0.0000 0.5000 0.5000 x2
5 Er 0.2486 0.0000 0.7494 x4
6 Er 0.2492 0.3335 0.7495 x8

D(E_F) per entry: 22.96, 31.68, 33.63 states/eV per cell